## LaFe2Ni2 (GGA-PBE)

Data for crystalline LaFe2Ni2 at its relaxed geometry.

Properties
Energy of formation   0.364 eV/atom
Offset from the most stable computed form   385 meV per atom
Density of states at the Fermi level   3.20 states/eV/atom
V   141.29 Å³ per cell
Spin magnetization   0.0 μB per cell

```
data_LaFe2Ni2
_space_group_name_H-M_alt 'P 4/m b m'
_space_group_IT_number 127
_space_group_name_Hall '-P 4 2ab'
_cell_length_a 7.1482
_cell_length_b 7.1482
_cell_length_c 2.7652
_cell_angle_alpha 90.00
_cell_angle_beta 90.00
_cell_angle_gamma 90.00
loop_
_atom_site_label
_atom_site_fract_x
_atom_site_fract_y
_atom_site_fract_z
La1 0.0000 0.0000 0.0000
Fe1 0.1133 0.3867 0.0000
Ni1 0.1763 0.6763 0.5000
```